A relaxed AlTc2Pb crystal, computed with PBE-GGA.

Cell: 5.4536 5.4536 5.4536 Å, 145.58 132.05 60.36°
Element x y z (fractional)
Al (0.0000, 0.0000, 0.0000)
Tc (0.5357, 0.5357, 0.0000)
Tc (0.7748, 0.2748, 0.5000)
Pb (0.2722, 0.7722, 0.5000)

Computed properties:
E_form = 346 meV per atom
Calculated volume = 67.44 Å³/cell
Energy above the most stable polymorph in this dataset = 1.151 eV per formula unit
Total energy = -6.700 eV per atom
SG = No. 44